# 1
The following is a GGA-PBE calculation of a geometry-optimized DyAgN structure, from Alexandria.

Calculated values
* M_tot: 0.00 μB per atom
* Fermi-level density of states: 0.75 states/eV/f.u.
* formation energy (no corrections): -0.68 eV/atom

The structure in CIF format:
```
data_DyAgN
_space_group_name_H-M_alt 'P 1 21/c 1'
_space_group_IT_number 14
_cell_length_a 6.344
_cell_length_b 5.960
_cell_length_c 5.927
_cell_angle_alpha 90.00
_cell_angle_beta 104.10
_cell_angle_gamma 90.00
loop_
_space_group_symop_operation_xyz
'x,y,z'
'-x,-y,-z'
'-x,y+1/2,-z+1/2'
'x,-y+1/2,z+1/2'
loop_
_atom_site_label
_atom_site_fract_x
_atom_site_fract_y
_atom_site_fract_z
_atom_site_occupancy
Dy1 0.135 0.042 0.281 1
Ag1 0.387 0.614 0.309 1
N1 0.066 0.748 0.018 1
```

# 2
The following is a GGA-PBE calculation of a geometry-optimized Dy2AgN structure, from Alexandria.

Calculated values
* M_tot: 0.00 μB per atom
* Fermi-level density of states: 2.77 states/eV/f.u.
* formation energy (no corrections): -0.84 eV/atom

The structure in CIF format:
```
data_Dy2AgN
_space_group_name_H-M_alt 'R -3 m'
_space_group_IT_number 166
_space_group_name_Hall '-R 3 2"'
_cell_length_a 3.4905
_cell_length_b 3.4905
_cell_length_c 22.8363
_cell_angle_alpha 90.00
_cell_angle_beta 90.00
_cell_angle_gamma 120.00
loop_
_atom_site_label
_atom_site_fract_x
_atom_site_fract_y
_atom_site_fract_z
_atom_site_occupancy
Dy1 0.0000 0.0000 0.2264 1
Ag1 0.0000 0.0000 0.0000 1
N1 0.0000 0.0000 0.5000 1
```

# 3
The following is a GGA-PBE calculation of a geometry-optimized DyPa2AgN5 structure, from Alexandria.

Calculated values
* M_tot: 0.00 μB per atom
* Fermi-level density of states: 2.94 states/eV/f.u.
* formation energy (no corrections): -0.94 eV/atom

The structure in CIF format:
```
data_DyPa2AgN5
_space_group_name_H-M_alt 'C m c 21'
_space_group_IT_number 36
_cell_length_a 3.537
_cell_length_b 13.060
_cell_length_c 11.498
_cell_angle_alpha 90.00
_cell_angle_beta 90.00
_cell_angle_gamma 90.00
loop_
_space_group_symop_operation_xyz
'x,y,z'
'-x,-y,z+1/2'
'-x,y,z'
'x,-y,z+1/2'
'x+1/2,y+1/2,z'
'-x+1/2,-y+1/2,z+1/2'
'-x+1/2,y+1/2,z'
'x+1/2,-y+1/2,z+1/2'
loop_
_atom_site_label
_atom_site_fract_x
_atom_site_fract_y
_atom_site_fract_z
_atom_site_occupancy
Dy1 0.000 0.211 0.000 1
Pa1 0.000 0.106 0.693 1
Pa2 0.000 0.142 0.266 1
Ag1 0.000 0.488 0.471 1
N1 0.000 0.056 0.099 1
N2 0.000 0.278 0.669 1
N3 0.000 0.293 0.361 1
N4 0.000 0.370 0.081 1
N5 0.000 0.475 0.786 1
```